4
Lattice="4.007 0.000 0.000 0.000 4.894 0.000 -2.003 -2.447 6.266" Properties=species:S:1:pos:R:3 comment="Ba2MnSe SCAN single point on PBEsol structure" raw_formation_energy_ev_per_atom=-0.655 pbc="T T T"
Ba 2.003 0.000 3.399
Ba 2.003 2.447 6.192
Mn 2.003 2.447 0.634
Se 0.000 2.447 2.306